[1]
Below is MgBr after structural relaxation, with properties calculated at the PBE level.

Cell and atoms, written as POSCAR:
```
MgBr
1.0
3.9089 0.0000 0.0000
-1.9544 3.3852 0.0000
0.0000 0.0000 29.8625
Mg Br
6 6
Direct
0.0000 0.0000 0.0476 Mg
0.0000 0.0000 0.9524 Mg
0.3333 0.6667 0.2848 Mg
0.3333 0.6667 0.3800 Mg
0.6667 0.3333 0.6200 Mg
0.6667 0.3333 0.7152 Mg
0.0000 0.0000 0.2349 Br
0.0000 0.0000 0.7651 Br
0.3333 0.6667 0.5700 Br
0.3333 0.6667 0.9024 Br
0.6667 0.3333 0.0976 Br
0.6667 0.3333 0.4300 Br
```

Results
SG: No. 164
Electronic total energy: -5.1 eV/f.u.
V: 395.2 Å³/cell
Formation energy from raw total energies: -917 meV per atom
Spin magnetization: 0.0 μB per cell

***

[2]
Below is LaIr3 after structural relaxation, with properties calculated at the PBE level.

Cell and atoms, written as POSCAR:
```
LaIr3
1.0
2.9356 -4.0388 0.0000
2.9356 4.0388 0.0000
0.0000 0.0000 2.9671
La Ir
1 3
Direct
0.0000 0.0000 0.0000 La
0.0000 0.5000 0.5000 Ir
0.5000 0.0000 0.5000 Ir
0.5000 0.5000 0.0000 Ir
```

Results
SG: No. 65
Electronic total energy: -31.7 eV/f.u.
V: 70.4 Å³/cell
E_form: -0.056 eV/atom
DOS at the Fermi energy: 0.7932 states/eV per atom
Spin magnetization: 0.0 μB per cell

***

[3]
Below is Na3Ce4Te8 after structural relaxation, with properties calculated at the PBE level.

Cell and atoms, written as POSCAR:
```
Na3Ce4Te8
1.0
6.3283 -6.4571 0.0000
6.3283 6.4571 0.0000
-6.3245 0.0000 6.4359
Na Ce Te
3 4 8
Direct
0.0000 0.0000 0.0000 Na
0.0000 0.5000 0.0000 Na
0.5000 0.0000 0.0000 Na
0.0000 0.0000 0.5000 Ce
0.0000 0.5000 0.5000 Ce
0.5000 0.0000 0.5000 Ce
0.5000 0.5000 0.0000 Ce
0.2447 0.7553 0.5000 Te
0.2469 0.2469 0.9798 Te
0.2543 0.7457 0.0000 Te
0.2558 0.2558 0.5058 Te
0.7442 0.7442 0.4942 Te
0.7457 0.2543 0.0000 Te
0.7531 0.7531 0.0202 Te
0.7553 0.2447 0.5000 Te
```

Results
SG: No. 12
Electronic total energy: -70.9 eV/f.u.
V: 526.0 Å³/cell
Formation energy from raw total energies: -1203 meV per atom
DOS at the Fermi energy: 1.6144 states/eV per atom
Spin magnetization: 3.0 μB per cell

***

[4]
Below is SmEr2Co after structural relaxation, with properties calculated at the PBE level.

Cell and atoms, written as POSCAR:
```
SmEr2Co
1.0
1.8173 -6.0352 0.0000
1.8173 6.0352 0.0000
0.0000 0.0000 9.3688
Sm Er Co
2 4 2
Direct
0.0825 0.9175 0.7500 Sm
0.9175 0.0825 0.2500 Sm
0.3580 0.6420 0.5726 Er
0.3580 0.6420 0.9274 Er
0.6420 0.3580 0.0726 Er
0.6420 0.3580 0.4274 Er
0.2458 0.7542 0.2500 Co
0.7542 0.2458 0.7500 Co
```

Results
Polymorph energy (0 for the lowest one): 23 meV/atom
SG: No. 63
Electronic total energy: -21.5 eV/f.u.
V: 205.5 Å³/cell
E_form: -0.135 eV/atom
DOS at the Fermi energy: 1.2773 states/eV per atom
Spin magnetization: 0.0 μB per cell

***

[5]
Below is Zr6Tl2Cd after structural relaxation, with properties calculated at the PBE level.

Cell and atoms, written as POSCAR:
```
Zr6Tl2Cd
1.0
-2.4151 3.3752 7.2487
2.4151 -3.3752 7.2487
2.4151 3.3752 -7.2487
Zr Tl Cd
6 2 1
Direct
0.0819 0.3349 0.7470 Zr
0.2441 0.0000 0.2441 Zr
0.4121 0.6651 0.7470 Zr
0.5879 0.3349 0.2530 Zr
0.7559 0.0000 0.7559 Zr
0.9181 0.6651 0.2530 Zr
0.3338 0.8338 0.5000 Tl
0.6662 0.1662 0.5000 Tl
0.0000 0.5000 0.5000 Cd
```

Results
Polymorph energy (0 for the lowest one): 387 meV/atom
SG: No. 71
Electronic total energy: -53.2 eV/f.u.
V: 236.3 Å³/cell
E_form: 0.414 eV/atom
DOS at the Fermi energy: 1.3291 states/eV per atom
Spin magnetization: 0.0 μB per cell

***

[6]
Below is CaNb3Br after structural relaxation, with properties calculated at the PBE level.

Cell and atoms, written as POSCAR:
```
CaNb3Br
1.0
4.8768 0.0000 0.0000
0.0000 4.8768 0.0000
0.0000 0.0000 4.8768
Ca Nb Br
1 3 1
Direct
0.0000 0.0000 0.0000 Ca
0.0000 0.5000 0.5000 Nb
0.5000 0.0000 0.5000 Nb
0.5000 0.5000 0.0000 Nb
0.5000 0.5000 0.5000 Br
```

Results
Polymorph energy (0 for the lowest one): 0 meV/atom
SG: No. 221
Electronic total energy: -29.2 eV/f.u.
V: 116.0 Å³/cell
Formation energy from raw total energies: 932 meV per atom
DOS at the Fermi energy: 1.8194 states/eV per atom
Spin magnetization: 0.0 μB per cell

***

[7]
Below is Dy4CdIn2Pd after structural relaxation, with properties calculated at the PBE level.

Cell and atoms, written as POSCAR:
```
Dy4CdIn2Pd
1.0
2.6225 1.5141 8.4964
-2.6225 1.5141 8.4964
0.0000 -3.0283 8.4964
Dy Cd In Pd
4 1 2 1
Direct
0.1180 0.1180 0.1180 Dy
0.3700 0.3700 0.3700 Dy
0.6300 0.6300 0.6300 Dy
0.8820 0.8820 0.8820 Dy
0.5000 0.5000 0.5000 Cd
0.2450 0.2450 0.2450 In
0.7550 0.7550 0.7550 In
0.0000 0.0000 0.0000 Pd
```

Results
SG: No. 166
Electronic total energy: -34.2 eV/f.u.
V: 202.4 Å³/cell
E_form: -0.523 eV/atom
DOS at the Fermi energy: 0.5414 states/eV per atom
Spin magnetization: 0.0 μB per cell

***

[8]
Below is LaSmZnRu after structural relaxation, with properties calculated at the PBE level.

Cell and atoms, written as POSCAR:
```
LaSmZnRu
1.0
4.0071 0.0000 0.0000
0.0000 2.2724 5.3865
0.0000 -2.2724 5.3865
La Sm Zn Ru
1 1 1 1
Direct
0.0000 0.0000 0.0000 La
0.5000 0.2964 0.2964 Sm
0.5000 0.6014 0.6014 Zn
0.0000 0.7706 0.7706 Ru
```

Results
Polymorph energy (0 for the lowest one): 0 meV/atom
SG: No. 38
Electronic total energy: -21.3 eV/f.u.
V: 98.1 Å³/cell
E_form: -0.274 eV/atom
DOS at the Fermi energy: 0.7520 states/eV per atom
Spin magnetization: 0.0 μB per cell

***

[9]
Below is Cr2RhBr after structural relaxation, with properties calculated at the PBE level.

Cell and atoms, written as POSCAR:
```
Cr2RhBr
1.0
3.1273 0.0000 0.0000
0.0000 3.5455 0.0000
0.0000 0.0000 6.4434
Cr Rh Br
2 1 1
Direct
0.0000 0.0000 0.1597 Cr
0.0000 0.0000 0.8403 Cr
0.5000 0.5000 0.0000 Rh
0.5000 0.0000 0.5000 Br
```

Results
Polymorph energy (0 for the lowest one): 133 meV/atom
SG: No. 47
Electronic total energy: -26.4 eV/f.u.
V: 71.4 Å³/cell
Formation energy from raw total energies: 465 meV per atom
DOS at the Fermi energy: 1.2797 states/eV per atom
Spin magnetization: 1.4 μB per cell